Record 1
VASP calculation (PBE) on an optimized crystal structure of YTiAu2O.

## Properties
The formation energy without anion corrections is 1.3371 eV/atom.

Lattice parameters (Å, degrees): 5.3672 5.3672 5.8920 90.00 90.00 90.00
Atoms (fractional coordinates):
Y 0.0000 0.0000 0.0000
Ti 0.0000 0.0000 0.5000
Au 0.0000 0.5000 0.0000
Au 0.5000 0.0000 0.0000
O 0.5000 0.5000 0.5000


Record 2
VASP calculation (PBE) on an optimized crystal structure of TiZnAuO2.

## Properties
The formation energy without anion corrections is -1.3076 eV/atom. The relative energy among the computed polymorphs is 0.000 eV/atom.

Lattice parameters (Å, degrees): 3.7504 3.7504 5.8505 90.00 90.00 90.00
Atoms (fractional coordinates):
Ti 0.0000 0.0000 0.0000
Zn 0.5000 0.5000 0.5000
Au 0.0000 0.0000 0.5000
O 0.0000 0.5000 0.0000
O 0.5000 0.0000 0.0000


Record 3
VASP calculation (PBE) on an optimized crystal structure of TiZnAuO2.

## Properties
The formation energy without anion corrections is 0.5794 eV/atom. The relative energy among the computed polymorphs is 1.887 eV/atom.

Lattice parameters (Å, degrees): 4.1042 4.1042 5.1392 90.00 90.00 90.00
Atoms (fractional coordinates):
Ti 0.0000 0.0000 0.0000
Zn 0.5000 0.5000 0.0000
Au 0.0000 0.0000 0.5000
O 0.0000 0.5000 0.5000
O 0.5000 0.0000 0.5000